# BeSi2Ir2 (GGA-PBE, relaxed)
data_BeSi2Ir2
_chemical_formula_sum 'Be2 Si4 Ir4'
_cell_length_a 6.974
_cell_length_b 6.974
_cell_length_c 2.822
_cell_angle_alpha 90.00
_cell_angle_beta 90.00
_cell_angle_gamma 90.00
_symmetry_space_group_name_H-M 'P 4/m b m'
_symmetry_Int_Tables_number 127
_symmetry_space_group_name_Hall '-P 4 2ab'
loop_
_atom_site_label
_atom_site_type_symbol
_atom_site_fract_x
_atom_site_fract_y
_atom_site_fract_z
_atom_site_occupancy
Be1 Be 0.000 0.000 0.000 1
Si1 Si 0.150 0.350 0.500 1
Ir1 Ir 0.149 0.649 0.000 1
# Formation energy from raw total energies: -1.25 eV per formula unit
# Electronic total energy: -67.1 eV per cell
# Total moment: 0.000 μB/atom
# N(E_F): 4.526 states/eV/cell